# 1
First-principles (GGA-PBEsol) data for crystalline ZnHg2Se at its relaxed geometry, as listed in Alexandria via LeMat-Bulk.

Computed properties:
- Space-group type: I4/mmm (139)
- Distance to the lowest polymorph of the same formula: 0 meV/atom
- Energy relative to the elements, uncorrected: 32 meV/atom

Cell and atoms, written as POSCAR:
```
ZnHg2Se
1.0
3.869 0.000 0.000
0.000 3.869 0.000
0.000 0.000 12.022
Zn Hg Se
2 4 2
direct
0.000 0.000 0.000 Zn
0.500 0.500 0.500 Zn
0.000 0.500 0.250 Hg
0.000 0.500 0.750 Hg
0.500 0.000 0.250 Hg
0.500 0.000 0.750 Hg
0.000 0.000 0.500 Se
0.500 0.500 0.000 Se
```


# 2
First-principles (GGA-PBEsol) data for crystalline ZrHgSe3 at its relaxed geometry, as listed in Alexandria via LeMat-Bulk.

Computed properties:
- Space-group type: Pm-3m (221)
- Energy relative to the elements, uncorrected: 521 meV/atom

Cell and atoms, written as POSCAR:
```
ZrHgSe3
1.0
5.053 0.000 0.000
0.000 5.053 0.000
0.000 0.000 5.053
Zr Hg Se
1 1 3
direct
0.000 0.000 0.000 Zr
0.500 0.500 0.500 Hg
0.000 0.500 0.500 Se
0.500 0.000 0.500 Se
0.500 0.500 0.000 Se
```


# 3
First-principles (GGA-PBEsol) data for crystalline Zr3HgSe at its relaxed geometry, as listed in Alexandria via LeMat-Bulk.

Computed properties:
- Space-group type: Pm-3m (221)
- Energy relative to the elements, uncorrected: 878 meV/atom

Cell and atoms, written as POSCAR:
```
Zr3HgSe
1.0
5.198 0.000 0.000
0.000 5.198 0.000
0.000 0.000 5.198
Zr Hg Se
3 1 1
direct
0.000 0.000 0.500 Zr
0.000 0.500 0.000 Zr
0.500 0.000 0.000 Zr
0.000 0.000 0.000 Hg
0.500 0.500 0.500 Se
```


# 4
First-principles (GGA-PBEsol) data for crystalline SiHg3 at its relaxed geometry, as listed in Alexandria via LeMat-Bulk.

Computed properties:
- Space-group type: P-6m2 (187)
- Distance to the lowest polymorph of the same formula: 29 meV/atom
- Energy relative to the elements, uncorrected: 287 meV/atom

Cell and atoms, written as POSCAR:
```
SiHg3
1.0
3.011 0.000 0.000
-1.506 2.608 0.000
0.000 0.000 10.773
Si Hg
1 3
direct
0.000 0.000 0.000 Si
0.000 0.000 0.500 Hg
0.667 0.333 0.234 Hg
0.667 0.333 0.766 Hg
```


# 5
First-principles (GGA-PBEsol) data for crystalline Si5Hg3 at its relaxed geometry, as listed in Alexandria via LeMat-Bulk.

Computed properties:
- Space-group type: P4/mmm (123)
- Energy relative to the elements, uncorrected: 323 meV/atom

Cell and atoms, written as POSCAR:
```
Si5Hg3
1.0
3.333 0.000 0.000
0.000 3.333 0.000
0.000 0.000 14.728
Si Hg
5 3
direct
0.000 0.000 0.000 Si
0.000 0.000 0.330 Si
0.000 0.000 0.670 Si
0.500 0.500 0.284 Si
0.500 0.500 0.716 Si
0.000 0.000 0.500 Hg
0.500 0.500 0.113 Hg
0.500 0.500 0.887 Hg
```


# 6
First-principles (GGA-PBEsol) data for crystalline SiHg3 at its relaxed geometry, as listed in Alexandria via LeMat-Bulk.

Computed properties:
- Space-group type: Immm (71)
- Distance to the lowest polymorph of the same formula: 0 meV/atom
- Energy relative to the elements, uncorrected: 258 meV/atom

Cell and atoms, written as POSCAR:
```
SiHg3
1.0
3.235 0.000 0.000
0.000 4.364 0.000
0.000 0.000 12.537
Si Hg
2 6
direct
0.000 0.000 0.000 Si
0.500 0.500 0.500 Si
0.000 0.000 0.500 Hg
0.000 0.500 0.304 Hg
0.000 0.500 0.696 Hg
0.500 0.000 0.196 Hg
0.500 0.000 0.804 Hg
0.500 0.500 0.000 Hg
```


# 7
First-principles (GGA-PBEsol) data for crystalline Si2Hg at its relaxed geometry, as listed in Alexandria via LeMat-Bulk.

Computed properties:
- Space-group type: P-31m (162)
- Distance to the lowest polymorph of the same formula: 208 meV/atom
- Energy relative to the elements, uncorrected: 488 meV/atom

Cell and atoms, written as POSCAR:
```
Si2Hg
1.0
6.699 0.000 0.000
-3.350 5.802 0.000
0.000 0.000 5.796
Si Hg
6 3
direct
0.000 0.251 0.152 Si
0.000 0.749 0.848 Si
0.251 0.000 0.152 Si
0.251 0.251 0.848 Si
0.749 0.000 0.848 Si
0.749 0.749 0.152 Si
0.000 0.000 0.500 Hg
0.333 0.667 0.000 Hg
0.667 0.333 0.000 Hg
```


# 8
First-principles (GGA-PBEsol) data for crystalline Si2Hg at its relaxed geometry, as listed in Alexandria via LeMat-Bulk.

Computed properties:
- Space-group type: P6_3/mmc (194)
- Distance to the lowest polymorph of the same formula: 333 meV/atom
- Energy relative to the elements, uncorrected: 613 meV/atom

Cell and atoms, written as POSCAR:
```
Si2Hg
1.0
4.863 0.000 0.000
-2.431 4.211 0.000
0.000 0.000 5.349
Si Hg
4 2
direct
0.000 0.000 0.000 Si
0.000 0.000 0.500 Si
0.333 0.667 0.250 Si
0.667 0.333 0.750 Si
0.333 0.667 0.750 Hg
0.667 0.333 0.250 Hg
```


For each record above, in turn, the calculated calculated density values are 10.066 6.805 6.542 12.364 7.535 11.819 5.678 7.784 g/cm³.
For each record above, in turn, the calculated DOS(E_F) values are 0.252 1.035 1.453 0.373 0.384 0.454 0.305 0.494 states/eV/atom.
For each record above, in turn, the calculated uncorrected energy values are -1.609 -3.721 -5.459 -1.575 -3.482 -1.604 -3.532 -3.407 eV per atom.